# AcSmO3

Crystalline AcSmO3 at its relaxed geometry (GGA-PBE, OQMD).

Computed properties:
**Energy**: -8.0249 eV per atom

a = 6.148 Å, b = 6.148 Å, c = 6.148 Å
α = 61.07°, β = 61.07°, γ = 61.07°
Sites, in units of the cell vectors:
Ac 0.250 0.250 0.250
Ac 0.750 0.750 0.750
O 0.750 0.366 0.134
O 0.634 0.866 0.250
O 0.134 0.750 0.366
O 0.866 0.250 0.634
O 0.366 0.134 0.750
O 0.250 0.634 0.866
Sm 0.000 0.000 0.000
Sm 0.500 0.500 0.500

---

# AcSm2O4

Crystalline AcSm2O4 at its relaxed geometry (GGA-PBE, OQMD).

Computed properties:
**Energy**: -7.9141 eV per atom

a = 7.122 Å, b = 7.122 Å, c = 7.122 Å
α = 119.99°, β = 90.02°, γ = 119.99°
Sites, in units of the cell vectors:
Ac 0.000 0.000 0.000
Ac 0.750 0.500 0.250
O 0.169 0.779 0.390
O 0.610 0.221 0.390
O 0.610 0.779 0.390
O 0.140 0.279 0.419
O 0.610 0.221 0.831
O 0.140 0.721 0.860
O 0.581 0.721 0.860
O 0.140 0.279 0.860
Sm 0.375 0.750 0.125
Sm 0.875 0.250 0.625
Sm 0.375 0.250 0.625
Sm 0.375 0.750 0.625

---

# AcSmO3

Crystalline AcSmO3 at its relaxed geometry (GGA-PBE, OQMD).

Computed properties:
**Energy**: -8.0652 eV per atom

a = 6.186 Å, b = 6.186 Å, c = 6.360 Å
α = 60.90°, β = 60.90°, γ = 60.00°
Sites, in units of the cell vectors:
Ac 0.633 0.633 0.101
Ac 0.367 0.367 0.899
O 0.973 0.544 0.257
O 0.225 0.973 0.257
O 0.544 0.225 0.257
O 0.456 0.775 0.743
O 0.775 0.027 0.743
O 0.027 0.456 0.743
Sm 0.857 0.857 0.430
Sm 0.143 0.143 0.570

---

# AcSmO3

Crystalline AcSmO3 at its relaxed geometry (GGA-PBE, OQMD).

Computed properties:
**Energy**: -8.0858 eV per atom

a = 6.080 Å, b = 6.293 Å, c = 8.759 Å
α = 90.00°, β = 90.00°, γ = 90.00°
Sites, in units of the cell vectors:
Ac 0.986 0.049 0.250
Ac 0.514 0.549 0.250
Ac 0.486 0.451 0.750
Ac 0.014 0.951 0.750
O 0.691 0.307 0.068
O 0.809 0.807 0.068
O 0.128 0.438 0.250
O 0.372 0.938 0.250
O 0.691 0.307 0.432
O 0.809 0.807 0.432
O 0.191 0.193 0.568
O 0.309 0.693 0.568
O 0.628 0.062 0.750
O 0.872 0.562 0.750
O 0.191 0.193 0.932
O 0.309 0.693 0.932
Sm 0.500 0.000 0.000
Sm 0.000 0.500 0.000
Sm 0.500 0.000 0.500
Sm 0.000 0.500 0.500

---

# AcTaO4

Crystalline AcTaO4 at its relaxed geometry (GGA-PBE, OQMD).

Computed properties:
**Energy**: -9.0766 eV per atom

a = 5.850 Å, b = 5.349 Å, c = 5.761 Å
α = 90.00°, β = 103.04°, γ = 90.00°
Sites, in units of the cell vectors:
Ac 0.000 0.000 0.000
Ac 0.000 0.500 0.500
O 0.820 0.623 0.091
O 0.398 0.757 0.222
O 0.602 0.257 0.278
O 0.180 0.123 0.409
O 0.820 0.877 0.591
O 0.398 0.743 0.722
O 0.602 0.243 0.778
O 0.180 0.377 0.909
Ta 0.500 0.500 0.000
Ta 0.500 0.000 0.500

---

# AcTa2O6

Crystalline AcTa2O6 at its relaxed geometry (GGA-PBE, OQMD).

Computed properties:
**Energy**: -9.3876 eV per atom

a = 5.213 Å, b = 5.213 Å, c = 7.398 Å
α = 112.37°, β = 112.37°, γ = 46.15°
Sites, in units of the cell vectors:
Ac 0.000 0.000 0.500
O 0.691 0.691 0.091
O 0.008 0.008 0.174
O 0.337 0.337 0.358
O 0.663 0.663 0.642
O 0.992 0.992 0.826
O 0.309 0.309 0.909
Ta 0.183 0.183 0.093
Ta 0.817 0.817 0.907

---

# AcTa2O4

Crystalline AcTa2O4 at its relaxed geometry (GGA-PBE, OQMD).

Computed properties:
**Energy**: -8.8387 eV per atom

a = 6.641 Å, b = 6.641 Å, c = 6.641 Å
α = 119.99°, β = 90.02°, γ = 119.99°
Sites, in units of the cell vectors:
Ac 0.000 0.000 0.000
Ac 0.750 0.500 0.250
O 0.195 0.797 0.398
O 0.602 0.203 0.398
O 0.602 0.797 0.398
O 0.148 0.297 0.445
O 0.602 0.203 0.805
O 0.148 0.703 0.852
O 0.148 0.297 0.852
O 0.555 0.703 0.852
Ta 0.375 0.750 0.125
Ta 0.875 0.250 0.625
Ta 0.375 0.750 0.625
Ta 0.375 0.250 0.625

---

# Ac6TaO12

Crystalline Ac6TaO12 at its relaxed geometry (GGA-PBE, OQMD).

Computed properties:
**Energy**: -8.2598 eV per atom

a = 7.001 Å, b = 7.001 Å, c = 7.001 Å
α = 98.39°, β = 98.39°, γ = 98.39°
Sites, in units of the cell vectors:
Ac 0.291 0.604 0.139
Ac 0.604 0.139 0.291
Ac 0.861 0.709 0.396
Ac 0.139 0.291 0.604
Ac 0.396 0.861 0.709
Ac 0.709 0.396 0.861
O 0.936 0.715 0.034
O 0.285 0.966 0.064
O 0.593 0.447 0.177
O 0.966 0.064 0.285
O 0.553 0.823 0.407
O 0.177 0.593 0.447
O 0.823 0.407 0.553
O 0.447 0.177 0.593
O 0.034 0.936 0.715
O 0.407 0.553 0.823
O 0.715 0.034 0.936
O 0.064 0.285 0.966
Ta 0.000 0.000 0.000